Entry from Alexandria: a geometry-optimized VCd3Os structure (PBE).

Properties
- energy of formation from the pure elements (eV/atom) = 1.90

Cell: 5.0762 5.0762 5.0762 Å, 90.00 90.00 90.00°
Atoms (fractional coordinates):
Cd1 0.0000 0.5000 0.0000
Cd2 0.0000 0.0000 0.5000
Cd3 0.5000 0.0000 0.0000
Os1 0.5000 0.5000 0.5000
V1 0.0000 0.0000 0.0000

Entry from Alexandria: a geometry-optimized V2CdOs2 structure (PBE).

Properties
- energy of formation from the pure elements (eV/atom) = 0.06

Cell: 7.4143 7.4143 2.8450 Å, 90.00 90.00 90.00°
Atoms (fractional coordinates):
Cd1 0.0000 0.0000 0.0000
Cd2 0.5000 0.5000 0.0000
Os1 0.3620 0.8620 0.0000
Os2 0.8620 0.6380 0.0000
Os3 0.6380 0.1380 0.0000
Os4 0.1380 0.3620 0.0000
V1 0.1536 0.6536 0.5000
V2 0.6536 0.8464 0.5000
V3 0.8464 0.3464 0.5000
V4 0.3464 0.1536 0.5000

Entry from Alexandria: a geometry-optimized VCdOs2 structure (PBE).

Properties
- energy of formation from the pure elements (eV/atom) = 0.94

Cell: 3.9970 3.9970 9.3605 Å, 77.67 77.67 90.00°
Atoms (fractional coordinates):
Cd1 0.0000 0.0000 0.0000
Cd2 0.7500 0.2500 0.5000
Os1 0.5538 0.1250 0.2500
Os2 0.1962 0.6250 0.2500
Os3 0.3750 0.4462 0.7500
Os4 0.8750 0.8038 0.7500
V1 0.5000 0.5000 0.0000
V2 0.2500 0.7500 0.5000

Entry from Alexandria: a geometry-optimized V2CdOs2 structure (PBE).

Properties
- energy of formation from the pure elements (eV/atom) = 0.11

Cell: 7.4537 7.4537 2.8140 Å, 90.00 90.00 90.00°
Atoms (fractional coordinates):
Cd1 0.0000 0.0000 0.0000
Cd2 0.5000 0.5000 0.0000
Os1 0.1475 0.6475 0.5000
Os2 0.6475 0.8525 0.5000
Os3 0.8525 0.3525 0.5000
Os4 0.3525 0.1475 0.5000
V1 0.3578 0.8578 0.0000
V2 0.8578 0.6422 0.0000
V3 0.6422 0.1422 0.0000
V4 0.1422 0.3578 0.0000

Entry from Alexandria: a geometry-optimized V2CdOs structure (PBE).

Properties
- energy of formation from the pure elements (eV/atom) = 0.08

Cell: 2.9126 2.9126 7.3683 Å, 90.00 90.00 90.00°
Atoms (fractional coordinates):
V1 0.0000 0.0000 0.7862
V2 0.0000 0.0000 0.2138
Os1 0.5000 0.5000 0.0000
Cd1 0.5000 0.5000 0.5000

Entry from Alexandria: a geometry-optimized VCd3Os structure (PBE).

Properties
- energy of formation from the pure elements (eV/atom) = 1.25

Cell: 5.1406 5.1406 5.1406 Å, 90.00 90.00 90.00°
Atoms (fractional coordinates):
Cd1 0.0000 0.5000 0.0000
Cd2 0.0000 0.0000 0.5000
Cd3 0.5000 0.0000 0.0000
Os1 0.0000 0.0000 0.0000
V1 0.5000 0.5000 0.5000